[1]
A geometry-optimized NaTaMnTc2 structure. Source: Alexandria, functional GGA-PBE.

POSCAR file:
```
NaTaMnTc2
1.0
4.564 0.000 0.000
0.000 4.075 0.000
0.000 0.000 4.564
Na Tc Mn Ta
1 2 1 1
Direct
0.000 0.000 0.000
0.000 0.000 0.500
0.500 0.000 0.000
0.000 0.500 0.000
0.500 0.500 0.500
```

Computed properties:
DOS at the Fermi energy: 4.438 states/eV/f.u.
spin magnetization: 0.53 μB per atom
formation energy from the elements: 1.992 eV per atom
SG: P4/mmm, No. 123

=====

[2]
A geometry-optimized Na2Ta2MnTe6 structure. Source: Alexandria, functional GGA-PBE.

POSCAR file:
```
Na2Ta2MnTe6
1.0
6.820 0.034 0.166
-3.341 5.945 0.166
-1.089 -1.872 7.786
Na Te Ta Mn
2 6 2 1
Direct
0.188 0.812 0.000
0.812 0.188 0.000
0.272 0.272 0.248
0.965 0.614 0.311
0.728 0.728 0.752
0.614 0.965 0.311
0.035 0.386 0.689
0.386 0.035 0.689
0.373 0.627 0.500
0.627 0.373 0.500
0.000 0.000 0.500
```

Computed properties:
DOS at the Fermi energy: 4.725 states/eV/f.u.
spin magnetization: 0.38 μB per atom
energy relative to the elements, uncorrected: -0.4028 eV per atom
SG: C2/m, No. 12

=====

[3]
A geometry-optimized NaTb2Mn structure. Source: Alexandria, functional GGA-PBE.

POSCAR file:
```
NaTb2Mn
1.0
-2.254 0.660 -2.557
-0.405 -3.408 -0.522
-6.980 -0.109 6.125
Mn Tb Na
1 2 1
Direct
0.500 0.500 0.000
0.000 0.000 0.183
0.000 0.000 0.817
0.500 0.500 0.500
```

Computed properties:
DOS at the Fermi energy: 3.880 states/eV/f.u.
spin magnetization: 0.57 μB per atom
formation energy from the elements: 0.160 eV per atom
SG: P4/mmm, No. 123

=====

The lowest spin magnetization belongs to which entry?
Na2Ta2MnTe6

=====

Number 1 is which compound?
NaTaMnTc2